[1]
Density functional theory data (PBE) for K5RbAs2 after structural relaxation.

Results
calculated formation energy = -0.2852 eV per atom
calculated total energy = -2.254 eV/atom

```
data_K5RbAs2
_chemical_formula_sum 'K10 Rb2 As4'
_space_group_name_H-M_alt 'P -1'
_space_group_IT_number 2
_cell_length_a 5.791
_cell_length_b 5.792
_cell_length_c 22.225
_cell_angle_alpha 82.62
_cell_angle_beta 82.52
_cell_angle_gamma 60.10
loop_
_space_group_symop_operation_xyz
'x,y,z'
'-x,-y,-z'
loop_
_atom_site_label
_atom_site_fract_x
_atom_site_fract_y
_atom_site_fract_z
_atom_site_occupancy
K1 0.038 0.039 0.388 1
K2 0.100 0.109 0.192 1
K3 0.156 0.156 0.034 1
K4 0.320 0.320 0.540 1
K5 0.458 0.463 0.123 1
Rb1 0.266 0.259 0.709 1
As1 0.208 0.203 0.879 1
As2 0.373 0.375 0.382 1
```

[2]
Density functional theory data (PBE) for K2Rb2As after structural relaxation.

Results
excess energy over the best structure of this formula in the dataset = 0 kJ/mol of formula units
calculated formation energy = -0.1812 eV per atom
calculated total energy = -1.937 eV/atom

```
data_K2Rb2As
_chemical_formula_sum 'K4 Rb4 As2'
_space_group_name_H-M_alt 'P b a m'
_space_group_IT_number 55
_cell_length_a 8.185
_cell_length_b 10.215
_cell_length_c 6.334
_cell_angle_alpha 90.00
_cell_angle_beta 90.00
_cell_angle_gamma 90.00
loop_
_space_group_symop_operation_xyz
'x,y,z'
'-x,-y,-z'
'-x,-y,z'
'x,y,-z'
'x+1/2,-y+1/2,-z'
'-x+1/2,y+1/2,z'
'-x+1/2,y+1/2,-z'
'x+1/2,-y+1/2,z'
loop_
_atom_site_label
_atom_site_fract_x
_atom_site_fract_y
_atom_site_fract_z
_atom_site_occupancy
K1 0.158 0.186 0.000 1
Rb1 0.206 0.425 0.500 1
As1 0.000 0.500 0.000 1
```

[3]
Density functional theory data (PBE) for KRbAs after structural relaxation.

Results
excess energy over the best structure of this formula in the dataset = 48 kJ/mol of formula units
calculated formation energy = -0.1534 eV per atom
calculated total energy = -2.392 eV/atom

```
data_KRbAs
_chemical_formula_sum 'K1 Rb1 As1'
_space_group_name_H-M_alt 'P 3 m 1'
_space_group_IT_number 156
_cell_length_a 5.6580
_cell_length_b 5.6580
_cell_length_c 3.5334
_cell_angle_alpha 90.00
_cell_angle_beta 90.00
_cell_angle_gamma 120.00
loop_
_space_group_symop_operation_xyz
'x,y,z'
'-y,x-y,z'
'-x+y,-x,z'
'-y,-x,z'
'-x+y,y,z'
'x,x-y,z'
loop_
_atom_site_label
_atom_site_fract_x
_atom_site_fract_y
_atom_site_fract_z
_atom_site_occupancy
K1 0.0000 0.0000 0.0000 1
Rb1 0.6667 0.3333 0.8315 1
As1 0.3333 0.6667 0.3975 1
```

[4]
Density functional theory data (PBE) for K2RbAs after structural relaxation.

Results
calculated formation energy = -0.2092 eV per atom
calculated total energy = -2.162 eV/atom

```
data_K2RbAs
_chemical_formula_sum 'K8 Rb4 As4'
_space_group_name_H-M_alt 'P 1 21/c 1'
_space_group_IT_number 14
_cell_length_a 10.781
_cell_length_b 8.359
_cell_length_c 10.291
_cell_angle_alpha 90.00
_cell_angle_beta 117.64
_cell_angle_gamma 90.00
loop_
_space_group_symop_operation_xyz
'x,y,z'
'-x,-y,-z'
'-x,y+1/2,-z+1/2'
'x,-y+1/2,z+1/2'
loop_
_atom_site_label
_atom_site_fract_x
_atom_site_fract_y
_atom_site_fract_z
_atom_site_occupancy
K1 0.177 0.243 0.084 1
K2 0.213 0.659 0.859 1
Rb1 0.493 0.000 0.807 1
As1 0.437 0.140 0.467 1
```

[5]
Density functional theory data (PBE) for K2RbAs2 after structural relaxation.

Results
excess energy over the best structure of this formula in the dataset = 8 kJ/mol of formula units
calculated formation energy = -0.3219 eV per atom
calculated total energy = -2.814 eV/atom

```
data_K2RbAs2
_chemical_formula_sum 'K4 Rb2 As4'
_space_group_name_H-M_alt 'P 4/m b m'
_space_group_IT_number 127
_space_group_name_Hall '-P 4 2ab'
_cell_length_a 8.701
_cell_length_b 8.701
_cell_length_c 4.951
_cell_angle_alpha 90.00
_cell_angle_beta 90.00
_cell_angle_gamma 90.00
loop_
_atom_site_label
_atom_site_fract_x
_atom_site_fract_y
_atom_site_fract_z
_atom_site_occupancy
K1 0.167 0.333 0.000 1
Rb1 0.000 0.000 0.500 1
As1 0.099 0.599 0.500 1
```

[6]
Density functional theory data (PBE) for K2RbAs2 after structural relaxation.

Results
excess energy over the best structure of this formula in the dataset = 192 kJ/mol of formula units
calculated formation energy = 0.0589 eV per atom
calculated total energy = -2.433 eV/atom

```
data_K2RbAs2
_chemical_formula_sum 'K4 Rb2 As4'
_space_group_name_H-M_alt 'I 4/m m m'
_space_group_IT_number 139
_space_group_name_Hall '-I 4 2'
_cell_length_a 5.655
_cell_length_b 5.655
_cell_length_c 12.002
_cell_angle_alpha 90.00
_cell_angle_beta 90.00
_cell_angle_gamma 90.00
loop_
_atom_site_label
_atom_site_fract_x
_atom_site_fract_y
_atom_site_fract_z
_atom_site_occupancy
K1 0.000 0.000 0.134 1
Rb1 0.000 0.000 0.500 1
As1 0.000 0.500 0.250 1
```

Number 1: spin magnetization 0.000 μB per atom. Number 2: spin magnetization 0.105 μB per atom. Number 3: spin magnetization 0.000 μB per atom. Number 4: spin magnetization 0.000 μB per atom. Number 5: spin magnetization 0.108 μB per atom. Number 6: spin magnetization 0.000 μB per atom.